# PmSmPb6 (PBE, relaxed)
# Total magnetization = 0.00 μB per cell
# ΔE_f = -2.81 eV per formula unit
data_PmSmPb6
_cell_length_a 4.912
_cell_length_b 4.912
_cell_length_c 9.830
_cell_angle_alpha 90.00
_cell_angle_beta 90.00
_cell_angle_gamma 90.00
_symmetry_space_group_name_H-M 'P 4/m m m'
_symmetry_Int_Tables_number 123
_symmetry_space_group_name_Hall '-P 4 2'
loop_
_atom_site_label
_atom_site_type_symbol
_atom_site_fract_x
_atom_site_fract_y
_atom_site_fract_z
Pm1 Pm 0.000 0.000 0.000
Sm1 Sm 0.000 0.000 0.500
Pb1 Pb 0.000 0.500 0.251
Pb2 Pb 0.500 0.500 0.000
Pb3 Pb 0.500 0.500 0.500



# La3GaSe (PBE, relaxed)
# Offset from the most stable computed form = 0.0 meV/atom
# Raw formation energy = -556 meV per atom
# Total magnetization = 0.00 μB per cell
data_La3GaSe
_cell_length_a 5.838
_cell_length_b 5.838
_cell_length_c 5.838
_cell_angle_alpha 90.00
_cell_angle_beta 90.00
_cell_angle_gamma 90.00
_symmetry_space_group_name_H-M 'P m -3 m'
_symmetry_Int_Tables_number 221
_symmetry_space_group_name_Hall '-P 4 2 3'
loop_
_atom_site_label
_atom_site_type_symbol
_atom_site_fract_x
_atom_site_fract_y
_atom_site_fract_z
La1 La 0.000 0.000 0.500
Ga1 Ga 0.500 0.500 0.500
Se1 Se 0.000 0.000 0.000



# NbFeCoRh (PBE, relaxed)
# Total magnetization = 11.52 μB per cell
# ΔE_f = -0.11 eV per formula unit
data_NbFeCoRh
_cell_length_a 6.018
_cell_length_b 6.018
_cell_length_c 6.018
_cell_angle_alpha 90.00
_cell_angle_beta 90.00
_cell_angle_gamma 90.00
_symmetry_space_group_name_H-M 'F -4 3 m'
_symmetry_Int_Tables_number 216
_symmetry_space_group_name_Hall 'F -4 2 3'
loop_
_atom_site_label
_atom_site_type_symbol
_atom_site_fract_x
_atom_site_fract_y
_atom_site_fract_z
Nb1 Nb 0.000 0.000 0.000
Fe1 Fe 0.250 0.250 0.250
Co1 Co 0.250 0.250 0.750
Rh1 Rh 0.000 0.000 0.500



> The highest total magnetization belongs to which entry?

NbFeCoRh



> The highest total magnetization belongs to which entry?

NbFeCoRh



> Which value of total magnetization does entry 3 give?

11.52 μB per cell